{"formula": "NiHSN2", "functional": "GGA-PBEsol", "state": "optimized geometry", "crystal_system": "tetragonal", "spacegroup": "P4/mmm (123)", "magmom_total_mub_per_cell": 1.0, "density_g_cm3": 3.40, "e_above_lowest_polymorph_mev_per_atom": 0, "lattice_angstrom": [[3.466, 0.000, 0.000], [0.000, 3.466, 0.000], [0.000, 0.000, 4.874]], "species": ["Ni", "H", "S", "N", "N"], "frac_coords": [[0.000, 0.000, 0.000], [0.500, 0.500, 0.500], [0.000, 0.000, 0.500], [0.000, 0.500, 0.000], [0.500, 0.000, 0.000]]}